*A*
# MnRe3O

A geometry-optimized MnRe3O structure (PBE+U, Alexandria via LeMat-Bulk).

Computed properties:
Spin magnetization   2.92 μB per cell
Volume   69 Å³ per cell
Space-group type   Pm-3m

Cell and atoms, written as CIF:
```
data_MnRe3O
_cell_length_a 4.101
_cell_length_b 4.101
_cell_length_c 4.101
_cell_angle_alpha 90.00
_cell_angle_beta 90.00
_cell_angle_gamma 90.00
_space_group_name_H-M_alt 'P 1'
_space_group_IT_number 1
loop_
_space_group_symop_operation_xyz
'x,y,z'
loop_
_atom_site_label
_atom_site_type_symbol
_atom_site_fract_x
_atom_site_fract_y
_atom_site_fract_z
Re1 Re 0.000 0.500 0.000
Re2 Re 0.000 0.000 0.500
Re3 Re 0.500 0.000 0.000
Mn1 Mn 0.500 0.500 0.500
O1 O 0.000 0.000 0.000
```

*B*
# MnRe3O

A geometry-optimized MnRe3O structure (PBE+U, Alexandria via LeMat-Bulk).

Computed properties:
Spin magnetization   0.68 μB per cell
Volume   86 Å³ per cell
Space-group type   Pm-3m

Cell and atoms, written as CIF:
```
data_MnRe3O
_cell_length_a 4.406
_cell_length_b 4.406
_cell_length_c 4.406
_cell_angle_alpha 90.00
_cell_angle_beta 90.00
_cell_angle_gamma 90.00
_space_group_name_H-M_alt 'P 1'
_space_group_IT_number 1
loop_
_space_group_symop_operation_xyz
'x,y,z'
loop_
_atom_site_label
_atom_site_type_symbol
_atom_site_fract_x
_atom_site_fract_y
_atom_site_fract_z
Re1 Re 0.000 0.500 0.000
Re2 Re 0.000 0.000 0.500
Re3 Re 0.500 0.000 0.000
Mn1 Mn 0.000 0.000 0.000
O1 O 0.500 0.500 0.500
```

*A* is the most stable structure shown above.